(1)
The following is a DFT calculation (PBE) of a geometry-optimized MgAg2W structure.

Cell lengths 2.7822, 5.0204, 10.0845 Å; angles 90.00, 90.00, 90.00 degrees
Last column: nearest neighbours and their distance in Å.
Space group Imm2 (No. 44)
Asymmetric unit:
Mg  0.0000  0.0000  0.0000 (multiplicity 2)  2 Mg 2.78, 6 Ag 2.84-2.87, 2 W 2.95
Ag  0.0000  0.0000  0.5071 (multiplicity 2)  4 Ag 2.78-2.86, 4 Mg 2.87, 2 W 2.87
Ag  0.0000  0.5000  0.2550 (multiplicity 2)  4 Ag 2.78-2.86, 2 Mg 2.84, 4 W 2.87
W  0.0000  0.5000  0.7577 (multiplicity 2)  2 W 2.78, 6 Ag 2.87, 2 Mg 2.95

The total energy comes out at -4.549 eV/atom. The calculation puts the theoretical density at 10.0 g cm⁻³. Its formation energy is 0.51 eV per atom.



(2)
The following is a DFT calculation (PBE) of a geometry-optimized Zr3Hg2Pd8 structure.

Cell lengths 5.3242, 5.3242, 29.9116 Å; angles 90.00, 90.00, 120.00 degrees
Last column: nearest neighbours and their distance in Å.
Space group R-3m (No. 166, hexagonal axes)
Asymmetric unit:
Zr  0.0000  0.0000  0.0000 (multiplicity 3)  6 Hg 3.22, 6 Pd 3.51
Zr  0.0000  0.0000  0.1890 (multiplicity 6)  10 Pd 2.62-2.85
Hg  0.0000  0.0000  0.3652 (multiplicity 6)  4 Pd 2.65-2.81
Pd  0.0000  0.0000  0.2766 (multiplicity 6)  1 Zr 2.62, 1 Hg 2.65
Pd  0.0007  0.5003  0.7769 (multiplicity 18)  4 Pd 2.66-2.67, 1 Hg 2.81, 3 Zr 2.81-2.85

The total energy comes out at -5.534 eV/atom. The calculation puts the theoretical density at 10.4 g cm⁻³. Its formation energy is -0.32 eV per atom.



(3)
The following is a DFT calculation (PBE) of a geometry-optimized Ac3AlIn2Pd6 structure.

Cell lengths 5.9942, 5.9942, 9.0268 Å; angles 90.00, 90.00, 120.00 degrees
Last column: nearest neighbours and their distance in Å.
Space group P-3m1 (No. 164)
Asymmetric unit:
Ac  0.0000  0.0000  0.0000 (multiplicity 1)  6 Pd 3.23, 6 In 3.48
Ac  0.3333  0.6667  0.6321 (multiplicity 2)  6 Pd 3.06
Al  0.0000  0.0000  0.5000 (multiplicity 1)  6 Pd 2.55
In  0.3333  0.6667  0.0365 (multiplicity 2)  3 Pd 2.89
Pd  0.1725  0.3449  0.2983 (multiplicity 6)  1 Al 2.55

The total energy comes out at -5.126 eV/atom. The calculation puts the theoretical density at 9.3 g cm⁻³. Its formation energy is -0.73 eV per atom.